(1)
Compound: YTmTlZn
Source: Alexandria
Functional: PBE
Structure: optimized geometry

a b c (Å): 3.6505 3.6505 7.3724
angles (deg): 90.00 90.00 90.00
Closest atoms and distances in Å follow each position.
Fractional coordinates of all 4 atoms:
Zn 0.5000 0.5000 0.6000  4 Tm 3.06, 4 Y 3.12
Y 0.0000 0.0000 0.8369  4 Zn 3.12, 4 Tl 3.29, 1 Tm 3.38
Tm 0.0000 0.0000 0.3783  4 Zn 3.06, 4 Tl 3.24, 1 Y 3.38
Tl 0.5000 0.5000 0.1128  4 Tm 3.24, 4 Y 3.29, 1 Zn 3.59

Output
E_form in eV per atom: -0.3560
Symmetry: P4mm, No. 99
Total magnetization in μB per atom: 0.00
Polymorph energy (0 for the lowest one) in meV/atom: 0

=====

(2)
Compound: Sc3Cr2
Source: Alexandria
Functional: PBE
Structure: optimized geometry

a b c (Å): 8.7029 7.7035 5.6910
angles (deg): 79.49 60.50 40.01
Closest atoms and distances in Å follow each position.
Fractional coordinates of all 10 atoms:
Sc 0.5207 0.7743 0.8841  5 Cr 2.91-3.02, 6 Sc 2.92-3.25
Sc 0.4757 0.7293 0.4291  5 Cr 2.91-3.02, 6 Sc 2.92-3.25
Sc 0.1655 0.3345 0.3345  6 Cr 2.86-3.04, 2 Sc 3.19
Sc 0.3659 0.4291 0.7293  5 Cr 2.91-3.02, 6 Sc 2.92-3.25
Sc 0.8209 0.8841 0.7743  5 Cr 2.91-3.02, 6 Sc 2.92-3.25
Sc 0.9155 0.0845 0.0845  6 Cr 2.86-3.04, 2 Sc 3.19
Cr 0.8942 0.2022 0.5550  8 Sc 2.86-3.04, 2 Cr 3.19
Cr 0.3486 0.5550 0.2022  8 Sc 2.86-3.04, 2 Cr 3.19
Cr 0.0478 0.3558 0.9014  8 Sc 2.86-3.04, 2 Cr 3.19
Cr 0.6950 0.9014 0.3558  8 Sc 2.86-3.04, 2 Cr 3.19

Output
E_form in eV per atom: 0.3276
Symmetry: Fdd2, No. 43
Total magnetization in μB per atom: 1.22
Polymorph energy (0 for the lowest one) in meV/atom: 0

=====

(3)
Compound: Cu5W
Source: Alexandria
Functional: PBE
Structure: optimized geometry

a b c (Å): 7.1087 7.1087 4.3229
angles (deg): 90.00 90.00 159.40
Closest atoms and distances in Å follow each position.
Fractional coordinates of all 6 atoms:
Cu 0.4401 0.5599 0.5000  10 Cu 2.54-2.63, 2 W 2.69
Cu 0.7802 0.2198 0.5000  10 Cu 2.54-2.64, 2 W 2.71
Cu 0.3353 0.6647 0.0000  12 Cu 2.54-2.62
Cu 0.9970 0.0030 0.0000  10 Cu 2.54-2.75, 2 W 2.67
Cu 0.6714 0.3286 0.0000  8 Cu 2.54-2.75, 4 W 2.65
W 0.1094 0.8906 0.5000  2 W 2.54, 10 Cu 2.65-2.71

Output
E_form in eV per atom: 0.2273
Symmetry: Amm2, No. 38
Total magnetization in μB per atom: 0.00
Polymorph energy (0 for the lowest one) in meV/atom: 96

=====

(4)
Compound: NdYZnGa
Source: Alexandria
Functional: PBE
Structure: optimized geometry

a b c (Å): 5.1512 5.1512 5.1512
angles (deg): 60.00 60.00 60.00
Closest atoms and distances in Å follow each position.
Fractional coordinates of all 4 atoms:
Ga 0.7500 0.7500 0.7500  4 Y 3.15, 4 Nd 3.15
Y 0.0000 0.0000 0.0000  4 Ga 3.15, 4 Zn 3.15
Nd 0.5000 0.5000 0.5000  4 Zn 3.15, 4 Ga 3.15
Zn 0.2500 0.2500 0.2500  4 Y 3.15, 4 Nd 3.15

Output
E_form in eV per atom: -0.4699
Symmetry: F-43m, No. 216
Total magnetization in μB per atom: 0.00